The following is a PBE-GGA calculation of a geometry-optimized TbPaBr2 structure, from the Alexandria database.

a b c (Å): 10.4713 10.4713 10.4713
angles (deg): 19.03 19.03 19.03
Last column: nearest neighbours and their distance in Å.
Sites, in units of the cell vectors:
Tb (0.0000, 0.0000, 0.0000)  6 Br 2.93
Pa (0.5000, 0.5000, 0.5000)  2 Br 2.99
Br (0.4029, 0.4029, 0.4029)  3 Tb 2.93, 1 Pa 2.99
Br (0.5971, 0.5971, 0.5971)  3 Tb 2.93, 1 Pa 2.99

E   -20.338 eV for the cell shown
ΔE_f (raw)   -2.9 eV/f.u.
Space-group type   No. 166